## P
CePuAlSn: optimized geometry, PBE.

Calculated values
The density of states at the Fermi level comes out at 10.72 states/eV/cell. Its crystal system is cubic. The mass density comes out at 8.5 Mg/m³.

Cell lengths 5.2737, 5.2737, 5.2737 Å; angles 60.00, 60.00, 60.00 degrees
Last column: nearest neighbours and their distance in Å.
Sites, in units of the cell vectors:
Al1 0.7500 0.7500 0.7500  4 Pu 3.23, 4 Ce 3.23
Sn1 0.2500 0.2500 0.2500  4 Ce 3.23, 4 Pu 3.23
Ce1 0.0000 0.0000 0.0000  4 Sn 3.23, 4 Al 3.23
Pu1 0.5000 0.5000 0.5000  4 Al 3.23, 4 Sn 3.23

## Q
CePuAlSn: optimized geometry, PBE.

Calculated values
The density of states at the Fermi level comes out at 6.68 states/eV/cell. Its crystal system is tetragonal. The mass density comes out at 9.0 Mg/m³.

Cell lengths 4.4957, 4.4957, 5.7883 Å; angles 112.85, 112.85, 90.00 degrees
Last column: nearest neighbours and their distance in Å.
Sites, in units of the cell vectors:
Ce1 0.7500 0.2500 0.5000  4 Sn 3.18, 4 Al 3.30, 4 Pu 3.30
Pu1 0.5000 0.5000 0.0000  4 Al 3.18, 4 Sn 3.30, 4 Ce 3.30
Al1 0.0000 0.0000 0.0000  4 Pu 3.18, 4 Sn 3.30, 4 Ce 3.30
Sn1 0.2500 0.7500 0.5000  4 Ce 3.18, 4 Al 3.30, 4 Pu 3.30

Energy relative to the most stable one, in kJ/mol of atoms: P 6.1; Q 0.0

## P
CeAl4Re: optimized geometry, PBE.

Calculated values
The density of states at the Fermi level comes out at 9.34 states/eV/cell. Its crystal system is orthorhombic. The mass density comes out at 6.3 Mg/m³.

Cell lengths 4.2565, 6.9052, 7.7478 Å; angles 90.00, 90.00, 90.00 degrees
Last column: nearest neighbours and their distance in Å.
Sites, in units of the cell vectors:
Ce1 0.0000 0.6278 0.7500  1 Re 2.85, 2 Al 3.15
Ce2 0.0000 0.3722 0.2500  1 Re 2.85, 2 Al 3.15
Al1 0.0000 0.0000 0.5000  2 Re 2.44
Al2 0.0000 0.0000 0.0000  2 Re 2.44
Al3 0.5000 0.9642 0.7500  2 Re 2.75, 6 Al 2.78-2.89
Al4 0.5000 0.0358 0.2500  2 Re 2.75, 6 Al 2.78-2.89
Al5 0.5000 0.6910 0.0652  2 Re 2.64, 3 Al 2.78-2.86
Al6 0.5000 0.3090 0.9348  2 Re 2.64, 3 Al 2.78-2.86
Al7 0.5000 0.6910 0.4348  2 Re 2.64, 3 Al 2.78-2.86
Al8 0.5000 0.3090 0.5652  2 Re 2.64, 3 Al 2.78-2.86
Re1 0.0000 0.2157 0.7500  6 Al 2.44-2.64
Re2 0.0000 0.7843 0.2500  6 Al 2.44-2.64

## Q
CeAl4Re: optimized geometry, PBE.

Calculated values
The density of states at the Fermi level comes out at 12.12 states/eV/cell. Its crystal system is triclinic. The mass density comes out at 6.6 Mg/m³.

Cell lengths 5.3068, 7.3114, 6.7534 Å; angles 116.57, 101.86, 100.87 degrees
Last column: nearest neighbours and their distance in Å.
Sites, in units of the cell vectors:
Ce1 0.2060 0.4358 0.5923  1 Ce 2.81, 6 Al 2.99-3.08
Ce2 0.7940 0.5642 0.4077  1 Ce 2.81, 6 Al 2.99-3.08
Al1 0.1463 0.3860 0.1093  3 Al 2.59-2.89, 2 Re 2.79-2.87
Al2 0.0608 0.9463 0.3115  4 Al 2.57-2.78, 2 Re 2.65-2.66
Al3 0.3921 0.8358 0.5684  2 Re 2.67-2.93, 4 Al 2.68-2.89, 1 Ce 2.99
Al4 0.6079 0.1642 0.4316  2 Re 2.67-2.93, 4 Al 2.68-2.89, 1 Ce 2.99
Al5 0.8537 0.6140 0.8907  3 Al 2.59-2.89, 2 Re 2.79-2.87
Al6 0.5336 0.2593 0.8751  5 Al 2.68-2.95, 2 Re 2.71-2.72
Al7 0.4664 0.7407 0.1249  5 Al 2.68-2.95, 2 Re 2.71-2.72
Al8 0.9392 0.0537 0.6885  4 Al 2.57-2.78, 2 Re 2.65-2.66
Re1 0.7438 0.9999 0.9976  2 Re 2.59-2.71, 7 Al 2.65-2.87
Re2 0.2562 0.0001 0.0024  2 Re 2.59-2.71, 7 Al 2.65-2.87

Energy relative to the most stable one, in kJ/mol of atoms: P 0.0; Q 17.3